# 1
A plane-wave DFT calculation with meta-GGA SCAN was carried out for a crystal of SrAlPd2 relaxed with PBEsol.

Values from the calculation:
SG: No. 122
Final energy (eV/atom): -24.404

Geometry as POSCAR:
```
SrAlPd2
1.0
5.046 0.000 0.000
0.000 5.046 0.000
0.000 0.000 16.207
Sr Al Pd
4 4 8
direct
0.000 0.000 0.000
0.000 0.500 0.250
0.500 0.000 0.750
0.500 0.500 0.500
0.000 0.000 0.500
0.000 0.500 0.750
0.500 0.000 0.250
0.500 0.500 0.000
0.045 0.250 0.625
0.250 0.545 0.875
0.250 0.955 0.375
0.455 0.250 0.125
0.545 0.750 0.125
0.750 0.045 0.375
0.750 0.455 0.875
0.955 0.750 0.625
```


# 2
A plane-wave DFT calculation with meta-GGA SCAN was carried out for a crystal of KRe3Hg relaxed with PBEsol.

Values from the calculation:
SG: No. 221
Final energy (eV/atom): -53.859

Geometry as POSCAR:
```
KRe3Hg
1.0
4.498 0.000 0.000
0.000 4.498 0.000
0.000 0.000 4.498
K Re Hg
1 3 1
direct
0.000 0.000 0.000
0.000 0.000 0.500
0.000 0.500 0.000
0.500 0.000 0.000
0.500 0.500 0.500
```


# 3
A plane-wave DFT calculation with meta-GGA SCAN was carried out for a crystal of BeTc2P relaxed with PBEsol.

Values from the calculation:
SG: No. 99
Final energy (eV/atom): -21.637

Geometry as POSCAR:
```
BeTc2P
1.0
2.943 0.000 0.000
0.000 2.943 0.000
0.000 0.000 5.393
Be Tc P
1 2 1
direct
0.000 0.000 0.000
0.000 0.000 0.459
0.500 0.500 0.780
0.500 0.500 0.221
```


# 4
A plane-wave DFT calculation with meta-GGA SCAN was carried out for a crystal of CoSiAs2Se relaxed with PBEsol.

Values from the calculation:
SG: No. 123
Final energy (eV/atom): -16.870
ΔE_f (raw) (eV per formula unit): 3.43

Geometry as POSCAR:
```
CoSiAs2Se
1.0
4.352 0.000 0.000
0.000 4.352 0.000
0.000 0.000 5.050
Co Si As Se
1 1 2 1
direct
0.000 0.000 0.000
0.500 0.500 0.500
0.000 0.500 0.000
0.500 0.000 0.000
0.000 0.000 0.500
```


# 5
A plane-wave DFT calculation with meta-GGA SCAN was carried out for a crystal of Zr3GaOs relaxed with PBEsol.

Values from the calculation:
SG: No. 221
Final energy (eV/atom): -35.178

Geometry as POSCAR:
```
Zr3GaOs
1.0
4.808 0.000 0.000
0.000 4.808 0.000
0.000 0.000 4.808
Zr Ga Os
3 1 1
direct
0.000 0.000 0.500
0.000 0.500 0.000
0.500 0.000 0.000
0.000 0.000 0.000
0.500 0.500 0.500
```


# 6
A plane-wave DFT calculation with meta-GGA SCAN was carried out for a crystal of MgAlAu2 relaxed with PBEsol.

Values from the calculation:
SG: No. 8
Final energy (eV/atom): -38.391

Geometry as POSCAR:
```
MgAlAu2
1.0
9.302 0.000 0.000
0.000 3.326 0.000
-1.084 0.000 4.330
Mg Al Au
2 2 4
direct
0.000 0.000 0.000
0.500 0.500 0.000
0.260 0.500 0.349
0.760 0.000 0.349
0.259 0.000 0.842
0.496 0.000 0.490
0.759 0.500 0.842
0.996 0.500 0.490
```


Q: What is the final energy in the third record?
A: -21.637 eV/atom


Q: Which of these has the lowest final energy?
A: KRe3Hg


Q: What is the final energy in the fourth record?
A: -16.870 eV/atom


Q: final energy of number 5 (Zr3GaOs)?
A: -35.178 eV/atom